Entry from the Alexandria database: crystalline TiVCr at its relaxed geometry (PBE).

Structure (extended XYZ):
```
6
Lattice="4.114 0.000 0.000 2.008 4.601 0.000 2.018 1.410 4.380" Properties=species:S:1:pos:R:3 pbc="T T T"
Ti 1.000 1.424 1.028
Ti 7.139 4.587 3.352
V 3.062 3.136 1.076
V 5.078 2.875 3.304
Cr 3.061 1.476 3.203
Cr 5.079 4.535 1.177
```

Calculated values
Space-group type ... P-1, No. 2
Crystal system ... triclinic
Magnetization ... 0.000 μB/f.u.
V ... 13.8 Å³/atom
Calculated formation energy ... 0.022 eV per atom
E above lowest polymorph ... 62 meV per atom